Record 1
# K5CdTeO2

Crystalline K5CdTeO2 at its relaxed geometry (PBE-GGA, Alexandria via LeMat-Bulk).

Values from the calculation:
E	-3.160	eV per atom
space group	P4/mmm
E_form (uncorrected)	-1.00	eV per atom

Cell: 5.4658 5.4658 9.7163 Å, 90.00 90.00 90.00°
Closest atoms and distances in Å follow each position.
Fractional coordinates of all 9 atoms:
K (0.0000, 0.0000, 0.0000)  2 O 2.79
K (0.0000, 0.5000, 0.2524)  2 O 2.75
K (0.0000, 0.5000, 0.7476)  2 O 2.75
K (0.5000, 0.0000, 0.2524)  2 O 2.75
K (0.5000, 0.0000, 0.7476)  2 O 2.75
Cd (0.0000, 0.0000, 0.5000)  2 O 2.07
Te (0.5000, 0.5000, 0.0000)  12 K 3.67-3.86
O (0.0000, 0.0000, 0.2871)  1 Cd 2.07
O (0.0000, 0.0000, 0.7129)  1 Cd 2.07

***

Record 2
# AlCo4As

Crystalline AlCo4As at its relaxed geometry (PBE-GGA, Alexandria via LeMat-Bulk).

Values from the calculation:
E	-6.017	eV per atom
energy of formation from the pure elements	119	meV per atom
space group	F-43m

Cell: 4.7317 4.7317 4.7317 Å, 60.00 60.00 60.00°
Closest atoms and distances in Å follow each position.
Fractional coordinates of all 6 atoms:
Al (0.0000, 0.0000, 0.0000)  12 Co 2.77, 4 As 2.90
Co (0.3749, 0.3749, 0.3749)  6 Co 2.36-2.37
Co (0.3749, 0.3749, 0.8753)  6 Co 2.36-2.37
Co (0.3749, 0.8753, 0.3749)  6 Co 2.36-2.37
Co (0.8753, 0.3749, 0.3749)  6 Co 2.36-2.37
As (0.7500, 0.7500, 0.7500)  12 Co 2.77, 4 Al 2.90

***

Record 3
# Pm3Sb

Crystalline Pm3Sb at its relaxed geometry (PBE-GGA, Alexandria via LeMat-Bulk).

Values from the calculation:
E	-5.079	eV per atom
space group	I4/mmm
energy above the lowest structure with this stoichiometry	0.51	eV per formula unit
E_form (uncorrected)	-0.48	eV per atom

Cell: 4.7965 4.7965 10.3797 Å, 90.00 90.00 90.00°
Closest atoms and distances in Å follow each position.
Fractional coordinates of all 8 atoms:
Pm (0.0000, 0.0000, 0.0000)  4 Sb 3.39, 8 Pm 3.53
Pm (0.0000, 0.5000, 0.2500)  8 Pm 3.39-3.53, 4 Sb 3.53
Pm (0.0000, 0.5000, 0.7500)  8 Pm 3.39-3.53, 4 Sb 3.53
Pm (0.5000, 0.0000, 0.2500)  8 Pm 3.39-3.53, 4 Sb 3.53
Pm (0.5000, 0.0000, 0.7500)  8 Pm 3.39-3.53, 4 Sb 3.53
Pm (0.5000, 0.5000, 0.5000)  4 Sb 3.39, 8 Pm 3.53
Sb (0.0000, 0.0000, 0.5000)  12 Pm 3.39-3.53
Sb (0.5000, 0.5000, 0.0000)  12 Pm 3.39-3.53

***

Record 4
# Tb5PmHo7

Crystalline Tb5PmHo7 at its relaxed geometry (PBE-GGA, Alexandria via LeMat-Bulk).

Values from the calculation:
E	-4.359	eV per atom
energy of formation from the pure elements	253	meV per atom
space group	Imm2
energy above the lowest structure with this stoichiometry	0.03	eV per formula unit

Cell: 8.6704 8.6704 8.6704 Å, 134.77 100.47 96.55°
Closest atoms and distances in Å follow each position.
Fractional coordinates of all 13 atoms:
Tb (0.0000, 0.0000, 0.0000)  4 Tb 3.10, 4 Ho 3.43-3.47
Tb (0.2297, 0.2683, 0.4959)  2 Tb 3.10, 4 Ho 3.39-3.47
Tb (0.2297, 0.7338, 0.9614)  2 Tb 3.10, 4 Ho 3.39-3.47
Tb (0.7725, 0.2683, 0.0386)  2 Tb 3.10, 4 Ho 3.39-3.47
Tb (0.7725, 0.7338, 0.5041)  2 Tb 3.10, 4 Ho 3.39-3.47
Pm (0.2010, 0.7010, 0.5000)  7 Ho 3.50-3.87, 4 Tb 3.76
Ho (0.0842, 0.2529, 0.8313)  5 Tb 3.45-3.47, 5 Ho 3.45-3.79
Ho (0.4216, 0.2529, 0.1687)  5 Tb 3.45-3.47, 5 Ho 3.45-3.79
Ho (0.5040, 0.0040, 0.5000)  3 Ho 3.33-3.52, 1 Pm 3.50, 4 Tb 3.50
Ho (0.5044, 0.5044, 0.0000)  6 Ho 3.33-3.45, 4 Tb 3.39
Ho (0.5818, 0.7515, 0.8303)  4 Ho 3.42-3.79, 5 Tb 3.43-3.47, 1 Pm 3.71
Ho (0.8088, 0.3088, 0.5000)  7 Ho 3.52-3.89, 4 Tb 3.71
Ho (0.9211, 0.7515, 0.1697)  4 Ho 3.42-3.79, 5 Tb 3.43-3.47, 1 Pm 3.71

***

Record 5
# La3Sm2Dy6Sc

Crystalline La3Sm2Dy6Sc at its relaxed geometry (PBE-GGA, Alexandria via LeMat-Bulk).

Values from the calculation:
E	-4.817	eV per atom
energy of formation from the pure elements	30	meV per atom
space group	C2/m

Cell: 6.2073 6.2073 11.8594 Å, 95.01 95.01 120.03°
Closest atoms and distances in Å follow each position.
Fractional coordinates of all 12 atoms:
La (0.0000, 0.0000, 0.0000)  6 La 3.58, 6 Dy 3.63-3.64
La (0.3330, 0.6670, 0.0000)  6 La 3.58-3.59, 6 Dy 3.63-3.65
La (0.6670, 0.3330, 0.0000)  6 La 3.58-3.59, 6 Dy 3.63-3.65
Sm (0.1662, 0.8338, 0.5000)  6 Dy 3.52-3.53, 3 Sm 3.57-3.59, 3 Sc 3.58-3.59
Sm (0.8338, 0.1662, 0.5000)  6 Dy 3.52-3.53, 3 Sm 3.57-3.59, 3 Sc 3.58-3.59
Dy (0.0893, 0.4195, 0.2564)  1 Sc 3.50, 2 Sm 3.52-3.53, 6 Dy 3.55-3.60, 3 La 3.63-3.65
Dy (0.2504, 0.2504, 0.7440)  1 Sc 3.51, 2 Sm 3.52, 6 Dy 3.55-3.60, 3 La 3.63-3.64
Dy (0.4195, 0.0893, 0.2564)  1 Sc 3.50, 2 Sm 3.52-3.53, 6 Dy 3.55-3.60, 3 La 3.63-3.65
Dy (0.5805, 0.9107, 0.7436)  1 Sc 3.50, 2 Sm 3.52-3.53, 6 Dy 3.55-3.60, 3 La 3.63-3.65
Dy (0.7496, 0.7496, 0.2560)  1 Sc 3.51, 2 Sm 3.52, 6 Dy 3.55-3.60, 3 La 3.63-3.64
Dy (0.9107, 0.5805, 0.7436)  1 Sc 3.50, 2 Sm 3.52-3.53, 6 Dy 3.55-3.60, 3 La 3.63-3.65
Sc (0.5000, 0.5000, 0.5000)  6 Dy 3.50-3.51, 6 Sm 3.58-3.59

***

Record 6
# HfBe2Pd

Crystalline HfBe2Pd at its relaxed geometry (PBE-GGA, Alexandria via LeMat-Bulk).

Values from the calculation:
E	-5.523	eV per atom
energy of formation from the pure elements	127	meV per atom
space group	I4_1/amd
energy above the lowest structure with this stoichiometry	1.73	eV per formula unit

Cell: 3.9649 3.9649 15.9777 Å, 90.00 90.00 90.00°
Closest atoms and distances in Å follow each position.
Fractional coordinates of all 16 atoms:
Hf (0.0000, 0.2500, 0.3750)  4 Pd 2.80, 8 Be 2.98
Hf (0.0000, 0.7500, 0.6250)  4 Pd 2.80, 8 Be 2.98
Hf (0.5000, 0.2500, 0.1250)  4 Pd 2.80, 8 Be 2.98
Hf (0.5000, 0.7500, 0.8750)  4 Pd 2.80, 8 Be 2.98
Be (0.0000, 0.0000, 0.0000)  2 Be 1.98
Be (0.0000, 0.5000, 0.0000)  2 Be 1.98
Be (0.2500, 0.2500, 0.7500)  2 Be 1.98
Be (0.2500, 0.7500, 0.2500)  2 Be 1.98
Be (0.5000, 0.0000, 0.5000)  2 Be 1.98
Be (0.5000, 0.5000, 0.5000)  2 Be 1.98
Be (0.7500, 0.2500, 0.7500)  2 Be 1.98
Be (0.7500, 0.7500, 0.2500)  2 Be 1.98
Pd (0.0000, 0.2500, 0.8750)  4 Be 2.23
Pd (0.0000, 0.7500, 0.1250)  4 Be 2.23
Pd (0.5000, 0.2500, 0.6250)  4 Be 2.23
Pd (0.5000, 0.7500, 0.3750)  4 Be 2.23

***

Record 7
# Tm3SbI7

Crystalline Tm3SbI7 at its relaxed geometry (PBE-GGA, Alexandria via LeMat-Bulk).

Values from the calculation:
E	-3.723	eV per atom
space group	P3m1
E_form (uncorrected)	-1.14	eV per atom

Cell: 8.8252 8.8252 7.1487 Å, 90.00 90.00 120.00°
Closest atoms and distances in Å follow each position.
Fractional coordinates of all 11 atoms:
Tm (0.0047, 0.5024, 0.0000)  1 Sb 2.99, 5 I 3.00-3.16
Tm (0.4976, 0.5024, 0.0000)  1 Sb 2.99, 5 I 3.00-3.16
Tm (0.4976, 0.9953, 0.0000)  1 Sb 2.99, 5 I 3.00-3.16
Sb (0.3333, 0.6667, 0.2259)  3 Tm 2.99
I (0.1739, 0.3478, 0.7529)  2 Tm 3.04
I (0.1739, 0.8261, 0.7529)  2 Tm 3.04
I (0.3424, 0.1712, 0.2257)  2 Tm 3.00
I (0.6522, 0.8261, 0.7529)  2 Tm 3.04
I (0.6667, 0.3333, 0.7455)  3 Tm 3.16
I (0.8288, 0.1712, 0.2257)  2 Tm 3.00
I (0.8288, 0.6576, 0.2257)  2 Tm 3.00

***

Record 8
# CrInCl4

Crystalline CrInCl4 at its relaxed geometry (PBE-GGA, Alexandria via LeMat-Bulk).

Values from the calculation:
E	-4.302	eV per atom
space group	C2/c
energy above the lowest structure with this stoichiometry	0.00	eV per formula unit
E_form (uncorrected)	-1.01	eV per atom

Cell: 8.2696 8.2696 6.1667 Å, 100.02 100.02 108.75°
Closest atoms and distances in Å follow each position.
Fractional coordinates of all 12 atoms:
Cr (0.0663, 0.9337, 0.7500)  6 Cl 2.31-2.40
Cr (0.9337, 0.0663, 0.2500)  6 Cl 2.31-2.40
In (0.2905, 0.7095, 0.2500)  4 Cl 3.01-3.25
In (0.7095, 0.2905, 0.7500)  4 Cl 3.01-3.25
Cl (0.0333, 0.6578, 0.8112)  1 Cr 2.31
Cl (0.0809, 0.2014, 0.6386)  2 Cr 2.38-2.40
Cl (0.2014, 0.0809, 0.1386)  2 Cr 2.38-2.40
Cl (0.3422, 0.9667, 0.6888)  1 Cr 2.31
Cl (0.6578, 0.0333, 0.3112)  1 Cr 2.31
Cl (0.7986, 0.9191, 0.8614)  2 Cr 2.38-2.40
Cl (0.9191, 0.7986, 0.3614)  2 Cr 2.38-2.40
Cl (0.9667, 0.3422, 0.1888)  1 Cr 2.31

***

- Among the records above, which one has the lowest E?
  AlCo4As

***

- Among the records above, which one has the lowest E?
  AlCo4As

***

- The lowest E belongs to which entry?
  AlCo4As